Record 1
Density functional theory data (PBE) for an optimized crystal structure of DyPuAu4.

abc: 5.337 9.198 5.343
angles: 90.00 90.00 90.00
Space group Amm2 (No. 38)
One atom of each set of equivalent atoms:
1 Dy 0.000 0.000 0.000
2 Pu 0.500 0.000 0.501
3 Au 0.000 0.168 0.500
4 Au 0.500 0.165 0.001

Calculated values
* DFT total energy: -71.70 eV/cell
* crystal system: orthorhombic
* ΔE_f: -635 meV/atom
* V: 21.9 A^3/atom


Record 2
Density functional theory data (PBE) for an optimized crystal structure of Dy12Pu3Au5.

abc: 17.550 17.550 17.550
angles: 90.00 90.00 90.00
Space group Ia-3d (No. 230)
One atom of each set of equivalent atoms:
1 Dy 0.027 0.071 0.646
2 Pu 0.000 0.250 0.125
3 Au 0.000 0.000 0.000
4 Au 0.000 0.250 0.375

Calculated values
* DFT total energy: -890.11 eV/cell
* crystal system: cubic
* ΔE_f: 167 meV/atom
* V: 33.8 A^3/atom


Record 3
Density functional theory data (PBE) for an optimized crystal structure of Dy4PuAu5.

abc: 3.574 3.574 18.359
angles: 90.00 90.00 90.00
Space group P4/mmm (No. 123)
One atom of each set of equivalent atoms:
1 Dy 0.000 0.000 0.099
2 Dy 0.000 0.000 0.299
3 Pu 0.000 0.000 0.500
4 Au 0.500 0.500 0.000
5 Au 0.500 0.500 0.198
6 Au 0.500 0.500 0.391

Calculated values
* DFT total energy: -56.86 eV/cell
* crystal system: tetragonal
* ΔE_f: -773 meV/atom
* V: 23.4 A^3/atom


Record 4
Density functional theory data (PBE) for an optimized crystal structure of DyPuRhAu.

abc: 7.062 7.062 7.062
angles: 90.00 90.00 90.00
Space group F-43m (No. 216)
One atom of each set of equivalent atoms:
1 Dy 0.000 0.000 0.000
2 Pu 0.000 0.000 0.500
3 Rh 0.250 0.250 0.250
4 Au 0.250 0.250 0.750

Calculated values
* DFT total energy: -127.26 eV/cell
* crystal system: cubic
* ΔE_f: -563 meV/atom
* V: 22.0 A^3/atom
* excess energy over the best structure of this formula in the dataset: 0.25 eV/f.u.


Record 5
Density functional theory data (PBE) for an optimized crystal structure of DyPuRhAu.

abc: 3.443 3.443 7.401
angles: 90.00 90.00 90.00
Space group P4mm (No. 99)
One atom of each set of equivalent atoms:
1 Dy 0.000 0.000 0.000
2 Pu 0.000 0.000 0.461
3 Rh 0.500 0.500 0.225
4 Au 0.500 0.500 0.746

Calculated values
* DFT total energy: -32.07 eV/cell
* crystal system: tetragonal
* ΔE_f: -626 meV/atom
* V: 21.9 A^3/atom
* excess energy over the best structure of this formula in the dataset: 0.00 eV/f.u.


Record 6
Density functional theory data (PBE) for an optimized crystal structure of DyPuRuAu.

abc: 7.010 7.010 7.010
angles: 90.00 90.00 90.00
Space group F-43m (No. 216)
One atom of each set of equivalent atoms:
1 Dy 0.000 0.000 0.000
2 Pu 0.000 0.000 0.500
3 Ru 0.250 0.250 0.250
4 Au 0.250 0.250 0.750

Calculated values
* DFT total energy: -131.44 eV/cell
* crystal system: cubic
* ΔE_f: -343 meV/atom
* V: 21.5 A^3/atom


Record 7
Density functional theory data (PBE) for an optimized crystal structure of DyPu2Si2Au2.

abc: 4.0709 4.0709 28.2082
angles: 90.00 90.00 120.00
Space group R-3m (No. 166, hexagonal axes)
One atom of each set of equivalent atoms:
1 Dy 0.0000 0.0000 0.0000
2 Pu 0.0000 0.0000 0.1512
3 Si 0.0000 0.0000 0.2495
4 Au 0.0000 0.0000 0.4004

Calculated values
* DFT total energy: -159.56 eV/cell
* crystal system: trigonal
* ΔE_f (raw): -2.5 eV per formula unit
* V: 19.3 A^3/atom


Record 8
Density functional theory data (PBE) for an optimized crystal structure of DyPuSiAu.

abc: 7.163 7.163 7.163
angles: 90.00 90.00 90.00
Space group F-43m (No. 216)
One atom of each set of equivalent atoms:
1 Dy 0.000 0.000 0.000
2 Pu 0.000 0.000 0.500
3 Si 0.250 0.250 0.250
4 Au 0.250 0.250 0.750

Calculated values
* DFT total energy: -118.38 eV/cell
* crystal system: cubic
* ΔE_f (raw): -2.0 eV per formula unit
* V: 23.0 A^3/atom


Record 9
Density functional theory data (PBE) for an optimized crystal structure of DyPuSnAu.

abc: 7.427 7.427 7.427
angles: 90.00 90.00 90.00
Space group F-43m (No. 216)
One atom of each set of equivalent atoms:
1 Dy 0.000 0.000 0.000
2 Pu 0.000 0.000 0.500
3 Sn 0.250 0.250 0.250
4 Au 0.250 0.250 0.750

Calculated values
* DFT total energy: -113.27 eV/cell
* crystal system: cubic
* ΔE_f: -526 meV/atom
* V: 25.6 A^3/atom


Record 10
Density functional theory data (PBE) for an optimized crystal structure of DyPuTcAu.

abc: 7.002 7.002 7.002
angles: 90.00 90.00 90.00
Space group F-43m (No. 216)
One atom of each set of equivalent atoms:
1 Dy 0.000 0.000 0.000
2 Pu 0.000 0.000 0.500
3 Tc 0.250 0.250 0.250
4 Au 0.250 0.250 0.750

Calculated values
* DFT total energy: -133.00 eV/cell
* crystal system: cubic
* ΔE_f: -168 meV/atom
* V: 21.5 A^3/atom


Record 11
Density functional theory data (PBE) for an optimized crystal structure of RbDyAu.

abc: 16.075 4.059 7.009
angles: 90.00 90.00 90.00
Space group Amm2 (No. 38)
One atom of each set of equivalent atoms:
1 Rb 0.151 0.000 0.000
2 Dy 0.389 0.000 0.662
3 Au 0.000 0.000 0.666
4 Au 0.500 0.000 0.996

Calculated values
* DFT total energy: -36.58 eV/cell
* crystal system: orthorhombic
* ΔE_f: -99 meV/atom
* V: 38.1 A^3/atom


Record 12
Density functional theory data (PBE) for an optimized crystal structure of RbDyAuS2.

abc: 7.624 5.029 7.720
angles: 90.00 99.67 90.00
Space group P2/c (No. 13)
One atom of each set of equivalent atoms:
1 Rb 0.000 0.143 0.250
2 Dy 0.500 0.494 0.750
3 Au 0.500 0.000 0.000
4 S 0.268 0.350 0.963

Calculated values
* DFT total energy: -45.74 eV/cell
* crystal system: monoclinic
* ΔE_f (raw): -5.8 eV per formula unit
* V: 29.2 A^3/atom


Record 13
Density functional theory data (PBE) for an optimized crystal structure of RbDyAuSe2.

abc: 8.010 4.967 8.010
angles: 90.00 97.61 90.00
Space group P2/c (No. 13)
One atom of each set of equivalent atoms:
1 Rb 0.000 0.119 0.250
2 Dy 0.500 0.495 0.750
3 Au 0.500 0.000 0.000
4 Se 0.261 0.369 0.970

Calculated values
* DFT total energy: -42.58 eV/cell
* crystal system: monoclinic
* ΔE_f (raw): -5.5 eV per formula unit
* V: 31.6 A^3/atom


Record 14
Density functional theory data (PBE) for an optimized crystal structure of RbDyTe2Au.

abc: 8.773 4.825 8.540
angles: 90.00 95.37 90.00
Space group P2/c (No. 13)
One atom of each set of equivalent atoms:
1 Rb 0.000 0.104 0.250
2 Dy 0.500 0.497 0.750
3 Te 0.259 0.370 0.978
4 Au 0.500 0.000 0.000

Calculated values
* DFT total energy: -38.95 eV/cell
* crystal system: monoclinic
* ΔE_f (raw): -4.3 eV per formula unit
* V: 36.0 A^3/atom


Record 15
Density functional theory data (PBE) for an optimized crystal structure of Dy8Rh3Au2.

abc: 9.837 13.852 4.891
angles: 90.00 90.00 90.00
Space group Cmmm (No. 65)
One atom of each set of equivalent atoms:
1 Dy 0.000 0.119 0.000
2 Dy 0.000 0.379 0.000
3 Dy 0.248 0.380 0.500
4 Rh 0.000 0.500 0.500
5 Rh 0.250 0.000 0.000
6 Au 0.000 0.246 0.500

Calculated values
* DFT total energy: -147.39 eV/cell
* crystal system: orthorhombic
* ΔE_f: -636 meV/atom
* V: 25.6 A^3/atom


Record 16
Density functional theory data (PBE) for an optimized crystal structure of Dy6Rh2Au.

abc: 9.318 9.488 10.222
angles: 90.00 90.00 90.00
Space group Immm (No. 71)
One atom of each set of equivalent atoms:
1 Dy 0.000 0.193 0.240
2 Dy 0.194 0.500 0.170
3 Dy 0.219 0.321 0.500
4 Rh 0.000 0.335 0.000
5 Rh 0.000 0.500 0.368
6 Au 0.000 0.000 0.000
7 Au 0.000 0.000 0.500

Calculated values
* DFT total energy: -204.89 eV/cell
* crystal system: orthorhombic
* ΔE_f: -625 meV/atom
* V: 25.1 A^3/atom


Record 17
Density functional theory data (PBE) for an optimized crystal structure of Dy8RhAu2.

abc: 17.447 5.110 6.775
angles: 90.00 104.42 90.00
Space group C2/m (No. 12)
One atom of each set of equivalent atoms:
1 Dy 0.029 0.000 0.285
2 Dy 0.089 0.500 0.939
3 Dy 0.160 0.500 0.469
4 Dy 0.203 0.000 0.818
5 Rh 0.000 0.500 0.500
6 Au 0.189 0.000 0.230

Calculated values
* DFT total energy: -112.16 eV/cell
* crystal system: monoclinic
* ΔE_f: -487 meV/atom
* V: 26.6 A^3/atom
* excess energy over the best structure of this formula in the dataset: 0.00 eV/f.u.


Record 18
Density functional theory data (PBE) for an optimized crystal structure of Dy8Rh5Au.

abc: 8.675 8.675 8.588
angles: 90.00 90.00 90.00
Space group I-4 (No. 82)
One atom of each set of equivalent atoms:
1 Dy 0.059 0.192 0.319
2 Dy 0.066 0.320 0.934
3 Rh 0.000 0.500 0.250
4 Rh 0.130 0.253 0.626
5 Au 0.000 0.000 0.000

Calculated values
* DFT total energy: -175.23 eV/cell
* crystal system: tetragonal
* ΔE_f: -769 meV/atom
* V: 23.1 A^3/atom


Record 19
Density functional theory data (PBE) for an optimized crystal structure of Dy8Rh2Au.

abc: 8.406 12.873 5.798
angles: 90.00 107.18 90.00
Space group Cm (No. 8)
One atom of each set of equivalent atoms:
1 Dy 0.000 0.000 0.000
2 Dy 0.083 0.371 0.774
3 Dy 0.166 0.129 0.590
4 Dy 0.245 0.500 0.370
5 Dy 0.374 0.228 0.187
6 Rh 0.374 0.305 0.684
7 Au 0.371 0.000 0.313

Calculated values
* DFT total energy: -118.73 eV/cell
* crystal system: monoclinic
* ΔE_f: -415 meV/atom
* V: 27.2 A^3/atom


Record 20
Density functional theory data (PBE) for an optimized crystal structure of Dy3Rh8Au.

abc: 5.2897 5.2897 26.0202
angles: 90.00 90.00 120.00
Space group R3m (No. 160, hexagonal axes)
One atom of each set of equivalent atoms:
1 Dy 0.0000 0.0000 0.0000
2 Dy 0.0000 0.0000 0.1304
3 Dy 0.0000 0.0000 0.6162
4 Rh 0.0000 0.0000 0.3120
5 Rh 0.0000 0.0000 0.8121
6 Rh 0.0015 0.5008 0.5621
7 Rh 0.1670 0.3339 0.3951
8 Au 0.0000 0.0000 0.4949

Calculated values
* DFT total energy: -248.26 eV/cell
* crystal system: trigonal
* ΔE_f: -571 meV/atom
* V: 17.5 A^3/atom